PmZrP2 | PBE | optimized geometry

abc: 4.817 4.817 4.817
angles: 60.00 60.00 60.00
Fractional positions:
1 Pm 0.000 0.000 0.000
2 Zr 0.500 0.500 0.500
3 P 0.250 0.250 0.250
4 P 0.750 0.750 0.750

Computed properties:
- formation energy from the elements (meV per atom) = -884
- crystal system = cubic
- uncorrected energy (eV/cell) = -27.7
- space group = Fm-3m